This record from Alexandria via LeMat-Bulk describes a geometry-optimized CsErMnI6 structure. The functional is PBE.

Cell lengths 7.700, 7.700, 8.765 Å; angles 90.00, 90.00, 120.00 degrees
Positions (direct):
Cs  0.000  0.000  0.000
Er  0.667  0.333  0.500
Mn  0.333  0.667  0.500
I  0.009  0.376  0.695
I  0.009  0.633  0.305
I  0.367  0.376  0.305
I  0.367  0.991  0.695
I  0.624  0.633  0.695
I  0.624  0.991  0.305

Output
E_tot: -33.85 eV per cell
Formation energy (no corrections): -1.107 eV/atom
Space group: P312, No. 149
DOS(E_F): 0.00 states/eV/f.u.